# NdTm4In4 GGA-PBE relaxed
# - Fermi-level density of states (states/eV/atom) = 0.706
# - total magnetization (Bohr magnetons per cell) = 0.00
data_NdTm4In4
_chemical_formula_sum 'Nd2 Tm8 In8'
_cell_length_a 7.216
_cell_length_b 7.216
_cell_length_c 10.438
_cell_angle_alpha 90.00
_cell_angle_beta 90.00
_cell_angle_gamma 90.00
_space_group_name_H-M_alt 'P 42/n m c'
_space_group_IT_number 137
loop_
_space_group_symop_operation_xyz
'x,y,z'
'-x,-y,-z'
'-y+1/2,x,z+1/2'
'y+1/2,-x,-z+1/2'
'-x+1/2,-y+1/2,z'
'x+1/2,y+1/2,-z'
'y,-x+1/2,z+1/2'
'-y,x+1/2,-z+1/2'
'x+1/2,-y,-z'
'-x+1/2,y,z'
'-y,-x,-z+1/2'
'y,x,z+1/2'
'-x,y+1/2,-z'
'x,-y+1/2,z'
'y+1/2,x+1/2,-z+1/2'
'-y+1/2,-x+1/2,z+1/2'
loop_
_atom_site_label
_atom_site_type_symbol
_atom_site_fract_x
_atom_site_fract_y
_atom_site_fract_z
Nd1 Nd 0.250 0.750 0.250
Tm1 Tm 0.015 0.250 0.160
In1 In 0.039 0.250 0.457

# Nd4Tm2In GGA-PBE relaxed
# - Fermi-level density of states (states/eV/atom) = 1.046
# - polymorph energy (0 for the lowest one) (meV per atom) = 8.5
# - total magnetization (Bohr magnetons per cell) = 0.00
data_Nd4Tm2In
_chemical_formula_sum 'Nd32 Tm16 In8'
_cell_length_a 11.811
_cell_length_b 23.687
_cell_length_c 6.332
_cell_angle_alpha 90.00
_cell_angle_beta 90.00
_cell_angle_gamma 90.00
_space_group_name_H-M_alt 'F d d 2'
_space_group_IT_number 43
_space_group_name_Hall 'F 2 -2d'
loop_
_atom_site_label
_atom_site_type_symbol
_atom_site_fract_x
_atom_site_fract_y
_atom_site_fract_z
Nd1 Nd 0.015 0.211 0.000
Nd2 Nd 0.080 0.146 0.493
Tm1 Tm 0.049 0.066 0.930
In1 In 0.000 0.000 0.447

# NdTm3In4 GGA-PBE relaxed
# - Fermi-level density of states (states/eV/atom) = 0.563
# - total magnetization (Bohr magnetons per cell) = 0.00
data_NdTm3In4
_chemical_formula_sum 'Nd2 Tm6 In8'
_cell_length_a 10.730
_cell_length_b 7.195
_cell_length_c 5.495
_cell_angle_alpha 90.00
_cell_angle_beta 90.00
_cell_angle_gamma 90.00
_space_group_name_H-M_alt 'P m m a'
_space_group_IT_number 51
loop_
_space_group_symop_operation_xyz
'x,y,z'
'-x,-y,-z'
'-x+1/2,-y,z'
'x+1/2,y,-z'
'x+1/2,-y,-z'
'-x+1/2,y,z'
'-x,y,-z'
'x,-y,z'
loop_
_atom_site_label
_atom_site_type_symbol
_atom_site_fract_x
_atom_site_fract_y
_atom_site_fract_z
Nd1 Nd 0.000 0.000 0.000
Tm1 Tm 0.000 0.500 0.000
Tm2 Tm 0.250 0.000 0.429
Tm3 Tm 0.250 0.500 0.414
In1 In 0.000 0.260 0.500
In2 In 0.250 0.260 0.911

# Nd7Tm12In GGA-PBE relaxed
# - Fermi-level density of states (states/eV/atom) = 1.475
# - total magnetization (Bohr magnetons per cell) = 0.00
data_Nd7Tm12In
_chemical_formula_sum 'Nd7 Tm12 In1'
_cell_length_a 8.550
_cell_length_b 8.755
_cell_length_c 8.908
_cell_angle_alpha 81.25
_cell_angle_beta 89.65
_cell_angle_gamma 85.43
_space_group_name_H-M_alt 'P -1'
_space_group_IT_number 2
loop_
_space_group_symop_operation_xyz
'x,y,z'
'-x,-y,-z'
loop_
_atom_site_label
_atom_site_type_symbol
_atom_site_fract_x
_atom_site_fract_y
_atom_site_fract_z
Nd1 Nd 0.000 0.000 0.000
Nd2 Nd 0.157 0.328 0.714
Nd3 Nd 0.295 0.227 0.053
Nd4 Nd 0.366 0.813 0.232
Tm1 Tm 0.092 0.794 0.580
Tm2 Tm 0.129 0.630 0.975
Tm3 Tm 0.180 0.479 0.346
Tm4 Tm 0.347 0.938 0.814
Tm5 Tm 0.357 0.136 0.446
Tm6 Tm 0.458 0.557 0.816
In1 In 0.500 0.500 0.500

# NdTm6In5 GGA-PBE relaxed
# - Fermi-level density of states (states/eV/atom) = 0.934
# - total magnetization (Bohr magnetons per cell) = 0.00
data_NdTm6In5
_chemical_formula_sum 'Nd2 Tm12 In10'
_cell_length_a 4.957
_cell_length_b 8.692
_cell_length_c 14.984
_cell_angle_alpha 90.00
_cell_angle_beta 90.00
_cell_angle_gamma 90.00
_space_group_name_H-M_alt 'I m m m'
_space_group_IT_number 71
_space_group_name_Hall '-I 2 2'
loop_
_atom_site_label
_atom_site_type_symbol
_atom_site_fract_x
_atom_site_fract_y
_atom_site_fract_z
Nd1 Nd 0.000 0.000 0.000
Tm1 Tm 0.000 0.224 0.500
Tm2 Tm 0.000 0.265 0.170
In1 In 0.000 0.000 0.320
In2 In 0.000 0.500 0.000
In3 In 0.000 0.500 0.347

# NdTm5In GGA-PBE relaxed
# - Fermi-level density of states (states/eV/atom) = 1.065
# - total magnetization (Bohr magnetons per cell) = 0.00
data_NdTm5In
_chemical_formula_sum 'Nd2 Tm10 In2'
_cell_length_a 7.883
_cell_length_b 11.372
_cell_length_c 6.194
_cell_angle_alpha 90.00
_cell_angle_beta 90.00
_cell_angle_gamma 90.00
_space_group_name_H-M_alt 'I m m 2'
_space_group_IT_number 44
loop_
_space_group_symop_operation_xyz
'x,y,z'
'-x,-y,z'
'-x,y,z'
'x,-y,z'
'x+1/2,y+1/2,z+1/2'
'-x+1/2,-y+1/2,z+1/2'
'-x+1/2,y+1/2,z+1/2'
'x+1/2,-y+1/2,z+1/2'
loop_
_atom_site_label
_atom_site_type_symbol
_atom_site_fract_x
_atom_site_fract_y
_atom_site_fract_z
Nd1 Nd 0.000 0.000 0.000
Tm1 Tm 0.000 0.253 0.405
Tm2 Tm 0.000 0.500 0.712
Tm3 Tm 0.186 0.000 0.503
In1 In 0.000 0.500 0.240

# Nd6Tm2In GGA-PBE relaxed
# - Fermi-level density of states (states/eV/atom) = 1.452
# - polymorph energy (0 for the lowest one) (meV per atom) = 0.0
# - total magnetization (Bohr magnetons per cell) = 0.00
data_Nd6Tm2In
_chemical_formula_sum 'Nd12 Tm4 In2'
_cell_length_a 10.846
_cell_length_b 10.846
_cell_length_c 4.982
_cell_angle_alpha 90.00
_cell_angle_beta 90.00
_cell_angle_gamma 90.00
_space_group_name_H-M_alt 'P 42/m n m'
_space_group_IT_number 136
_space_group_name_Hall '-P 4n 2n'
loop_
_atom_site_label
_atom_site_type_symbol
_atom_site_fract_x
_atom_site_fract_y
_atom_site_fract_z
Nd1 Nd 0.005 0.332 0.000
Nd2 Nd 0.157 0.157 0.500
Tm1 Tm 0.163 0.837 0.500
In1 In 0.000 0.000 0.000

# NdTmIn2 GGA-PBE relaxed
# - Fermi-level density of states (states/eV/atom) = 0.830
# - total magnetization (Bohr magnetons per cell) = 0.00
data_NdTmIn2
_chemical_formula_sum 'Nd1 Tm1 In2'
_cell_length_a 4.957
_cell_length_b 4.957
_cell_length_c 4.442
_cell_angle_alpha 90.00
_cell_angle_beta 90.00
_cell_angle_gamma 90.00
_space_group_name_H-M_alt 'P 4/m m m'
_space_group_IT_number 123
_space_group_name_Hall '-P 4 2'
loop_
_atom_site_label
_atom_site_type_symbol
_atom_site_fract_x
_atom_site_fract_y
_atom_site_fract_z
Nd1 Nd 0.000 0.000 0.000
Tm1 Tm 0.500 0.500 0.000
In1 In 0.000 0.500 0.500

# NdTm7In2 GGA-PBE relaxed
# - Fermi-level density of states (states/eV/atom) = 1.948
# - total magnetization (Bohr magnetons per cell) = 0.00
data_NdTm7In2
_chemical_formula_sum 'Nd2 Tm14 In4'
_cell_length_a 9.052
_cell_length_b 15.088
_cell_length_c 5.461
_cell_angle_alpha 90.00
_cell_angle_beta 90.00
_cell_angle_gamma 90.00
_space_group_name_H-M_alt 'C m m m'
_space_group_IT_number 65
_space_group_name_Hall '-C 2 2'
loop_
_atom_site_label
_atom_site_type_symbol
_atom_site_fract_x
_atom_site_fract_y
_atom_site_fract_z
Nd1 Nd 0.000 0.000 0.000
Tm1 Tm 0.000 0.233 0.000
Tm2 Tm 0.000 0.500 0.500
Tm3 Tm 0.181 0.123 0.500
In1 In 0.000 0.303 0.500

# Nd6Tm5In GGA-PBE relaxed
# - Fermi-level density of states (states/eV/atom) = 1.326
# - total magnetization (Bohr magnetons per cell) = 0.00
data_Nd6Tm5In
_chemical_formula_sum 'Nd12 Tm10 In2'
_cell_length_a 5.062
_cell_length_b 9.885
_cell_length_c 15.250
_cell_angle_alpha 90.00
_cell_angle_beta 90.00
_cell_angle_gamma 90.00
_space_group_name_H-M_alt 'I m m m'
_space_group_IT_number 71
_space_group_name_Hall '-I 2 2'
loop_
_atom_site_label
_atom_site_type_symbol
_atom_site_fract_x
_atom_site_fract_y
_atom_site_fract_z
Nd1 Nd 0.000 0.246 0.000
Nd2 Nd 0.000 0.254 0.333
Tm1 Tm 0.000 0.000 0.167
Tm2 Tm 0.000 0.000 0.500
Tm3 Tm 0.000 0.500 0.165
In1 In 0.000 0.500 0.500

# Nd3TmIn GGA-PBE relaxed
# - Fermi-level density of states (states/eV/atom) = 1.132
# - polymorph energy (0 for the lowest one) (meV per atom) = 0.0
# - total magnetization (Bohr magnetons per cell) = 0.00
data_Nd3TmIn
_chemical_formula_sum 'Nd12 Tm4 In4'
_cell_length_a 4.925
_cell_length_b 25.539
_cell_length_c 4.924
_cell_angle_alpha 90.00
_cell_angle_beta 90.00
_cell_angle_gamma 90.00
_space_group_name_H-M_alt 'C m c m'
_space_group_IT_number 63
_space_group_name_Hall '-C 2c 2'
loop_
_atom_site_label
_atom_site_type_symbol
_atom_site_fract_x
_atom_site_fract_y
_atom_site_fract_z
Nd1 Nd 0.000 0.054 0.250
Nd2 Nd 0.000 0.251 0.250
Nd3 Nd 0.000 0.444 0.250
Tm1 Tm 0.000 0.348 0.750
In1 In 0.000 0.153 0.750

# Nd2Tm2In GGA-PBE relaxed
# - Fermi-level density of states (states/eV/atom) = 1.593
# - polymorph energy (0 for the lowest one) (meV per atom) = 337.9
# - total magnetization (Bohr magnetons per cell) = 0.00
data_Nd2Tm2In
_chemical_formula_sum 'Nd6 Tm6 In3'
_cell_length_a 5.1390
_cell_length_b 5.1390
_cell_length_c 24.9398
_cell_angle_alpha 90.00
_cell_angle_beta 90.00
_cell_angle_gamma 120.00
_space_group_name_H-M_alt 'R -3 m'
_space_group_IT_number 166
_space_group_name_Hall '-R 3 2"'
loop_
_atom_site_label
_atom_site_type_symbol
_atom_site_fract_x
_atom_site_fract_y
_atom_site_fract_z
Nd1 Nd 0.0000 0.0000 0.0650
Tm1 Tm 0.0000 0.0000 0.1996
In1 In 0.0000 0.0000 0.5000

# Nd7TmIn3 GGA-PBE relaxed
# - Fermi-level density of states (states/eV/atom) = 1.413
# - total magnetization (Bohr magnetons per cell) = 0.01
data_Nd7TmIn3
_chemical_formula_sum 'Nd14 Tm2 In6'
_cell_length_a 11.675
_cell_length_b 12.136
_cell_length_c 5.934
_cell_angle_alpha 90.00
_cell_angle_beta 120.47
_cell_angle_gamma 90.00
_space_group_name_H-M_alt 'C 1 2/m 1'
_space_group_IT_number 12
loop_
_space_group_symop_operation_xyz
'x,y,z'
'-x,-y,-z'
'-x,y,-z'
'x,-y,z'
'x+1/2,y+1/2,z'
'-x+1/2,-y+1/2,-z'
'-x+1/2,y+1/2,-z'
'x+1/2,-y+1/2,z'
loop_
_atom_site_label
_atom_site_type_symbol
_atom_site_fract_x
_atom_site_fract_y
_atom_site_fract_z
Nd1 Nd 0.000 0.000 0.000
Nd2 Nd 0.167 0.500 0.167
Nd3 Nd 0.176 0.285 0.676
Tm1 Tm 0.000 0.000 0.500
In1 In 0.000 0.262 0.000
In2 In 0.000 0.500 0.500

# Nd6TmIn2 GGA-PBE relaxed
# - Fermi-level density of states (states/eV/atom) = 1.326
# - polymorph energy (0 for the lowest one) (meV per atom) = 119.1
# - total magnetization (Bohr magnetons per cell) = 0.00
data_Nd6TmIn2
_chemical_formula_sum 'Nd24 Tm4 In8'
_cell_length_a 18.814
_cell_length_b 12.247
_cell_length_c 5.167
_cell_angle_alpha 90.00
_cell_angle_beta 90.00
_cell_angle_gamma 90.00
_space_group_name_H-M_alt 'C m c m'
_space_group_IT_number 63
_space_group_name_Hall '-C 2c 2'
loop_
_atom_site_label
_atom_site_type_symbol
_atom_site_fract_x
_atom_site_fract_y
_atom_site_fract_z
Nd1 Nd 0.091 0.085 0.250
Nd2 Nd 0.098 0.379 0.250
Nd3 Nd 0.198 0.167 0.750
Tm1 Tm 0.000 0.215 0.750
In1 In 0.216 0.426 0.750

# Nd5TmIn2 GGA-PBE relaxed
# - Fermi-level density of states (states/eV/atom) = 1.341
# - polymorph energy (0 for the lowest one) (meV per atom) = 122.7
# - total magnetization (Bohr magnetons per cell) = 0.00
data_Nd5TmIn2
_chemical_formula_sum 'Nd10 Tm2 In4'
_cell_length_a 3.649
_cell_length_b 11.094
_cell_length_c 12.498
_cell_angle_alpha 90.00
_cell_angle_beta 90.00
_cell_angle_gamma 90.00
_space_group_name_H-M_alt 'I m m m'
_space_group_IT_number 71
_space_group_name_Hall '-I 2 2'
loop_
_atom_site_label
_atom_site_type_symbol
_atom_site_fract_x
_atom_site_fract_y
_atom_site_fract_z
Nd1 Nd 0.000 0.000 0.000
Nd2 Nd 0.000 0.279 0.361
Tm1 Tm 0.000 0.500 0.000
In1 In 0.000 0.000 0.277

# Nd2TmIn3 GGA-PBE relaxed
# - Fermi-level density of states (states/eV/atom) = 0.467
# - polymorph energy (0 for the lowest one) (meV per atom) = 0.0
# - total magnetization (Bohr magnetons per cell) = 0.00
data_Nd2TmIn3
_chemical_formula_sum 'Nd8 Tm4 In12'
_cell_length_a 5.411
_cell_length_b 16.243
_cell_length_c 7.622
_cell_angle_alpha 90.00
_cell_angle_beta 90.00
_cell_angle_gamma 90.00
_space_group_name_H-M_alt 'C m m m'
_space_group_IT_number 65
_space_group_name_Hall '-C 2 2'
loop_
_atom_site_label
_atom_site_type_symbol
_atom_site_fract_x
_atom_site_fract_y
_atom_site_fract_z
Nd1 Nd 0.000 0.000 0.000
Nd2 Nd 0.000 0.000 0.500
Nd3 Nd 0.000 0.337 0.000
Tm1 Tm 0.000 0.333 0.500
In1 In 0.000 0.170 0.261
In2 In 0.000 0.500 0.261

# Nd3Tm4In GGA-PBE relaxed
# - Fermi-level density of states (states/eV/atom) = 1.437
# - polymorph energy (0 for the lowest one) (meV per atom) = 9.8
# - total magnetization (Bohr magnetons per cell) = 0.00
data_Nd3Tm4In
_chemical_formula_sum 'Nd6 Tm8 In2'
_cell_length_a 4.917
_cell_length_b 4.953
_cell_length_c 20.199
_cell_angle_alpha 90.00
_cell_angle_beta 90.00
_cell_angle_gamma 90.00
_space_group_name_H-M_alt 'I m m m'
_space_group_IT_number 71
_space_group_name_Hall '-I 2 2'
loop_
_atom_site_label
_atom_site_type_symbol
_atom_site_fract_x
_atom_site_fract_y
_atom_site_fract_z
Nd1 Nd 0.000 0.000 0.000
Nd2 Nd 0.000 0.500 0.124
Tm1 Tm 0.000 0.000 0.248
Tm2 Tm 0.000 0.500 0.375
In1 In 0.000 0.000 0.500

# Nd2Tm2In GGA-PBE relaxed
# - Fermi-level density of states (states/eV/atom) = 1.221
# - polymorph energy (0 for the lowest one) (meV per atom) = 0.0
# - total magnetization (Bohr magnetons per cell) = 0.00
data_Nd2Tm2In
_chemical_formula_sum 'Nd4 Tm4 In2'
_cell_length_a 8.381
_cell_length_b 8.381
_cell_length_c 4.533
_cell_angle_alpha 90.00
_cell_angle_beta 90.00
_cell_angle_gamma 90.00
_space_group_name_H-M_alt 'P 4/m b m'
_space_group_IT_number 127
_space_group_name_Hall '-P 4 2ab'
loop_
_atom_site_label
_atom_site_type_symbol
_atom_site_fract_x
_atom_site_fract_y
_atom_site_fract_z
Nd1 Nd 0.147 0.353 0.000
Tm1 Tm 0.153 0.653 0.500
In1 In 0.000 0.000 0.000

# Nd5TmIn4 GGA-PBE relaxed
# - Fermi-level density of states (states/eV/atom) = 0.931
# - polymorph energy (0 for the lowest one) (meV per atom) = 0.0
# - total magnetization (Bohr magnetons per cell) = 0.00
data_Nd5TmIn4
_chemical_formula_sum 'Nd5 Tm1 In4'
_cell_length_a 3.655
_cell_length_b 3.655
_cell_length_c 22.411
_cell_angle_alpha 90.00
_cell_angle_beta 90.00
_cell_angle_gamma 90.00
_space_group_name_H-M_alt 'P 4/m m m'
_space_group_IT_number 123
_space_group_name_Hall '-P 4 2'
loop_
_atom_site_label
_atom_site_type_symbol
_atom_site_fract_x
_atom_site_fract_y
_atom_site_fract_z
Nd1 Nd 0.000 0.000 0.000
Nd2 Nd 0.000 0.000 0.194
Nd3 Nd 0.000 0.000 0.387
Tm1 Tm 0.500 0.500 0.500
In1 In 0.500 0.500 0.097
In2 In 0.500 0.500 0.291

# Nd2TmIn3 GGA-PBE relaxed
# - Fermi-level density of states (states/eV/atom) = 1.058
# - polymorph energy (0 for the lowest one) (meV per atom) = 251.9
# - total magnetization (Bohr magnetons per cell) = 0.00
data_Nd2TmIn3
_chemical_formula_sum 'Nd8 Tm4 In12'
_cell_length_a 12.343
_cell_length_b 10.158
_cell_length_c 5.827
_cell_angle_alpha 90.00
_cell_angle_beta 90.00
_cell_angle_gamma 90.00
_space_group_name_H-M_alt 'C m c m'
_space_group_IT_number 63
_space_group_name_Hall '-C 2c 2'
loop_
_atom_site_label
_atom_site_type_symbol
_atom_site_fract_x
_atom_site_fract_y
_atom_site_fract_z
Nd1 Nd 0.138 0.217 0.250
Tm1 Tm 0.000 0.398 0.750
In1 In 0.000 0.084 0.750
In2 In 0.208 0.500 0.000

| no. | energy of formation (eV/atom) |
| --- | --- |
| 1 | -0.172 |
| 2 | -0.089 |
| 3 | -0.439 |
| 4 | 0.138 |
| 5 | -0.357 |
| 6 | 0.707 |
| 7 | -0.066 |
| 8 | -0.454 |
| 9 | 0.354 |
| 10 | -0.056 |
| 11 | -0.187 |
| 12 | 0.412 |
| 13 | -0.066 |
| 14 | -0.078 |
| 15 | -0.148 |
| 16 | -0.474 |
| 17 | -0.102 |
| 18 | 0.074 |
| 19 | -0.374 |
| 20 | -0.222 |